{"formula": "Y7C2I12N", "functional": "PBE", "state": "optimized geometry", "lattice": [[-6.3762, -6.0943, -4.5900], [5.9901, -5.0694, 7.6495], [-12.3580, 7.1804, 9.3648]], "species": ["Y", "Y", "I", "I", "I", "Y", "C", "Y", "Y", "I", "Y", "I", "Y", "I", "I", "C", "I", "I", "I", "I", "I", "I", "I", "I", "N", "I", "Y", "I", "C", "I", "Y", "C", "Y", "I", "Y", "I", "I", "I", "Y", "N", "I", "I", "Y", "Y"], "frac_coords": [[0.5169, 0.4360, 0.6791], [0.4505, 0.7394, 0.8096], [0.7042, 0.8035, 0.4707], [0.3925, 0.5993, 0.9510], [0.5623, 0.7377, 0.1977], [0.7161, 0.7497, 0.6501], [0.3658, 0.3251, 0.2161], [0.0670, 0.4309, 0.2634], [0.1355, 0.1269, 0.1451], [0.9484, 0.0398, 0.7320], [0.9330, 0.5691, 0.7366], [0.3417, 0.9869, 0.0916], [0.3394, 0.4549, 0.1139], [0.7909, 0.5288, 0.3120], [0.4377, 0.2623, 0.8023], [0.6342, 0.6749, 0.7839], [0.4549, 0.8415, 0.6499], [0.6583, 0.0131, 0.9084], [0.8748, 0.8002, 0.0168], [0.0312, 0.3260, 0.4230], [0.0516, 0.9602, 0.2680], [0.1252, 0.1998, 0.9832], [0.6075, 0.4007, 0.0490], [0.0998, 0.5684, 0.1271], [0.5578, 0.5471, 0.5845], [0.2958, 0.1965, 0.5293], [0.3580, 0.5435, 0.5192], [0.5451, 0.1585, 0.3501], [0.7523, 0.6352, 0.7661], [0.9002, 0.4316, 0.8729], [0.6420, 0.4565, 0.4808], [0.2477, 0.3648, 0.2339], [0.5495, 0.2606, 0.1904], [0.9688, 0.6740, 0.5770], [0.2839, 0.2503, 0.3499], [0.2746, 0.6990, 0.3908], [0.2091, 0.4712, 0.6880], [0.1724, 0.8389, 0.8352], [0.6606, 0.5451, 0.8861], [0.4422, 0.4529, 0.4155], [0.7254, 0.3010, 0.6092], [0.8276, 0.1611, 0.1648], [0.8645, 0.8731, 0.8549], [0.4831, 0.5640, 0.3209]], "density_g_cm3": 4.37, "magmom_total_mub_per_cell": 0.00, "final_energy_ha_per_atom": -0.200, "space_group": "P-1 (2)"}

{"formula": "AuSN2O", "functional": "PBE", "state": "optimized geometry", "lattice": [[4.0952, 0.0000, 0.0000], [0.0000, 4.0952, 0.0000], [0.0000, 0.0000, 4.0487]], "species": ["N", "N", "Au", "S", "O"], "frac_coords": [[0.5000, 0.0000, 0.0000], [0.0000, 0.5000, 0.0000], [0.0000, 0.0000, 0.0000], [0.5000, 0.5000, 0.5000], [0.0000, 0.0000, 0.5000]], "density_g_cm3": 6.68, "magmom_total_mub_per_cell": 1.13, "final_energy_ha_per_atom": -0.134, "space_group": "P4/mmm (123)"}

{"formula": "Ti2RhF", "functional": "PBE", "state": "optimized geometry", "lattice": [[3.2627, -2.8522, -0.1522], [-0.8318, -4.2174, -0.5696], [1.0239, -1.9250, -3.7482]], "species": ["Ti", "Ti", "F", "Rh"], "frac_coords": [[0.7500, 0.7500, 0.7500], [0.2500, 0.2500, 0.2500], [0.0000, 0.0000, 0.0000], [0.5000, 0.5000, 0.5000]], "density_g_cm3": 6.27, "magmom_total_mub_per_cell": 0.46, "final_energy_ha_per_atom": -0.257, "space_group": "Fm-3m (225)", "e_above_lowest_polymorph_ev_per_atom": 0.2708}

{"formula": "ZrMoAu2N", "functional": "PBE", "state": "optimized geometry", "lattice": [[5.2067, 0.0000, 0.0000], [0.0000, 4.8624, 0.0000], [0.0000, 0.0000, 5.2067]], "species": ["Mo", "Zr", "Au", "N", "Au"], "frac_coords": [[0.0000, 0.5000, 0.0000], [0.0000, 0.0000, 0.0000], [0.0000, 0.0000, 0.5000], [0.5000, 0.5000, 0.5000], [0.5000, 0.0000, 0.0000]], "density_g_cm3": 7.50, "magmom_total_mub_per_cell": 2.01, "final_energy_ha_per_atom": -0.164, "space_group": "P4/mmm (123)"}

{"formula": "KLi2Au3", "functional": "PBE", "state": "optimized geometry", "lattice": [[4.3353, 0.0000, 0.0000], [0.0000, 4.9793, -2.8669], [0.0000, -0.0070, 5.7447]], "species": ["Li", "Au", "K", "Au", "Au", "Li"], "frac_coords": [[0.0000, 0.3345, 0.6666], [0.5000, 0.5013, 0.5000], [0.0000, 0.0012, 0.0000], [0.5000, 0.0012, 0.5000], [0.5000, 0.5013, 0.0000], [0.0000, 0.6680, 0.3334]], "e_form_ev_per_atom": -0.41, "density_g_cm3": 8.63, "magmom_total_mub_per_cell": 0.00, "final_energy_ha_per_atom": -0.105, "space_group": "P6/mmm (191)", "e_above_lowest_polymorph_ev_per_atom": 0.0000}

{"formula": "Ba2SrTiN", "functional": "PBE", "state": "optimized geometry", "lattice": [[-4.9712, 3.3705, 2.0464], [-2.4773, -3.0506, -0.9936], [0.7140, -2.4692, 5.8012]], "species": ["Ti", "Ba", "N", "Sr", "Ba"], "frac_coords": [[0.0000, 0.5000, 0.0000], [0.0000, 0.0000, 0.5000], [0.0000, 0.0000, 0.0000], [0.5000, 0.5000, 0.5000], [0.5000, 0.0000, 0.0000]], "density_g_cm3": 4.32, "magmom_total_mub_per_cell": 1.18, "final_energy_ha_per_atom": -0.162, "space_group": "P4/mmm (123)"}

{"formula": "Ga2POs", "functional": "PBE", "state": "optimized geometry", "lattice": [[-0.7834, 2.4884, 5.0711], [-0.5142, -5.1298, 2.4377], [4.6890, -1.4368, 4.6360]], "species": ["Os", "Ga", "P", "Ga", "Ga", "Os", "Ga", "P"], "frac_coords": [[0.7500, 0.2500, 0.5000], [0.1351, 0.6250, 0.2500], [0.2500, 0.7500, 0.5000], [0.6149, 0.1250, 0.2500], [0.3750, 0.3851, 0.7500], [0.0000, 0.0000, 0.0000], [0.8750, 0.8649, 0.7500], [0.5000, 0.5000, 0.0000]], "e_form_ev_per_atom": 0.68, "density_g_cm3": 6.81, "magmom_total_mub_per_cell": 2.00, "final_energy_ha_per_atom": -0.184, "space_group": "I-42d (122)"}

{"formula": "AsRh2W", "functional": "PBE", "state": "optimized geometry", "lattice": [[4.7080, -0.0116, -0.0180], [3.8394, 2.7247, -0.0180], [0.4342, 0.1378, 4.6721]], "species": ["Rh", "Rh", "As", "W"], "frac_coords": [[0.4901, 0.4901, 0.5076], [0.0099, 0.0099, 0.9924], [0.2500, 0.2500, 0.2500], [0.7500, 0.7500, 0.7500]], "e_form_ev_per_atom": -0.02, "density_g_cm3": 12.82, "magmom_total_mub_per_cell": 0.00, "final_energy_ha_per_atom": -0.297, "space_group": "C2/m (12)"}

{"formula": "TbDyY4", "functional": "PBE", "state": "optimized geometry", "lattice": [[6.0820, 0.4847, -1.1215], [2.5148, 5.5589, -1.1215], [-0.8950, -0.6292, 12.0243]], "species": ["Y", "Y", "Y", "Y", "Y", "Y", "Dy", "Dy", "Tb", "Y", "Tb", "Y"], "frac_coords": [[0.7494, 0.5844, 0.2500], [0.5844, 0.7494, 0.7500], [0.2506, 0.4156, 0.7500], [0.1662, 0.6678, 0.5002], [0.8338, 0.3322, 0.4998], [0.6678, 0.1662, 0.0002], [0.0832, 0.9168, 0.2500], [0.9168, 0.0832, 0.7500], [0.0000, 0.5000, 0.0000], [0.3322, 0.8338, 0.9998], [0.5000, 0.0000, 0.5000], [0.4156, 0.2506, 0.2500]], "e_form_ev_per_atom": 0.01, "density_g_cm3": 5.85, "magmom_total_mub_per_cell": 0.00, "final_energy_ha_per_atom": -0.215, "space_group": "C2/c (15)", "e_above_lowest_polymorph_ev_per_atom": 0.0000}

{"formula": "Ta2InW", "functional": "PBE", "state": "optimized geometry", "lattice": [[2.9215, 0.0100, 0.0000], [-1.0396, 2.7303, 0.0000], [0.0000, 0.0000, 9.2803]], "species": ["W", "Ta", "Ta", "In"], "frac_coords": [[0.5000, 0.5000, 0.2500], [0.0000, 0.0000, 0.4824], [0.0000, 0.0000, 0.0176], [0.5000, 0.5000, 0.7500]], "e_form_ev_per_atom": 0.10, "density_g_cm3": 14.80, "magmom_total_mub_per_cell": 0.00, "final_energy_ha_per_atom": -0.358, "space_group": "Cmmm (65)"}

{"formula": "Ca2LaRh", "functional": "PBE", "state": "optimized geometry", "lattice": [[3.9895, 0.0002, 0.0000], [-1.9952, 6.4476, 0.0000], [0.0000, 0.0000, 9.8134]], "species": ["Ca", "Ca", "Rh", "La", "Ca", "Ca", "La", "Rh"], "frac_coords": [[0.6487, 0.2974, 0.0702], [0.6487, 0.2974, 0.4298], [0.2727, 0.5459, 0.2500], [0.9148, 0.8301, 0.2500], [0.3513, 0.7026, 0.9298], [0.3513, 0.7026, 0.5702], [0.0852, 0.1699, 0.7500], [0.7273, 0.4541, 0.7500]], "e_form_ev_per_atom": -0.41, "density_g_cm3": 4.24, "magmom_total_mub_per_cell": 0.00, "final_energy_ha_per_atom": -0.165, "space_group": "Cmcm (63)", "e_above_lowest_polymorph_ev_per_atom": 0.0000}

{"formula": "Pr2MgSn4Rh3", "functional": "PBE", "state": "optimized geometry", "lattice": [[-0.2395, 1.8532, 4.0866], [-4.0464, -1.8581, 0.6055], [4.8641, -9.1480, 4.4335]], "species": ["Rh", "Rh", "Sn", "Mg", "Pr", "Sn", "Sn", "Pr", "Rh", "Sn"], "frac_coords": [[0.0000, 0.5000, 0.1258], [0.0000, 0.0000, 0.5000], [0.5000, 0.0000, 0.6441], [0.5000, 0.5000, 0.5000], [0.0000, 0.5000, 0.7608], [0.5000, 0.5000, 0.0000], [0.0000, 0.5000, 0.3559], [0.5000, 0.0000, 0.2392], [0.5000, 0.0000, 0.8742], [0.0000, 0.0000, 0.0000]], "e_form_ev_per_atom": -0.65, "density_g_cm3": 7.95, "magmom_total_mub_per_cell": 0.00, "final_energy_ha_per_atom": -0.205, "space_group": "P-4m2 (115)"}

Copy entry 9 word for word.
{"formula": "TbDyY4", "functional": "PBE", "state": "optimized geometry", "lattice": [[6.0820, 0.4847, -1.1215], [2.5148, 5.5589, -1.1215], [-0.8950, -0.6292, 12.0243]], "species": ["Y", "Y", "Y", "Y", "Y", "Y", "Dy", "Dy", "Tb", "Y", "Tb", "Y"], "frac_coords": [[0.7494, 0.5844, 0.2500], [0.5844, 0.7494, 0.7500], [0.2506, 0.4156, 0.7500], [0.1662, 0.6678, 0.5002], [0.8338, 0.3322, 0.4998], [0.6678, 0.1662, 0.0002], [0.0832, 0.9168, 0.2500], [0.9168, 0.0832, 0.7500], [0.0000, 0.5000, 0.0000], [0.3322, 0.8338, 0.9998], [0.5000, 0.0000, 0.5000], [0.4156, 0.2506, 0.2500]], "e_form_ev_per_atom": 0.01, "density_g_cm3": 5.85, "magmom_total_mub_per_cell": 0.00, "final_energy_ha_per_atom": -0.215, "space_group": "C2/c (15)", "e_above_lowest_polymorph_ev_per_atom": 0.0000}